Record 1
The following is a PBEsol calculation of an optimized crystal structure of Y4MgCu, from the Alexandria database.

Computed properties:
Energy of formation from the pure elements, eV/f.u.: -0.1
Raw total energy, eV per cell: -66.98
N(E_F), states/eV per atom: 1.03
Magnetization, μB per atom: 0.000
Volume, Å³ per cell: 312

a b c (Å): 3.5758 8.9117 9.7848
angles (deg): 90.00 90.00 90.00
With the nearest neighbours (Å) after each atom.
Fractional positions:
Y1 0.5000 0.6780 0.4404  2 Cu 2.91
Y2 0.0000 0.0000 0.5000  2 Cu 2.89, 4 Y 3.23
Y3 0.5000 0.8743 0.7500  2 Cu 3.20, 8 Y 3.23-3.58, 2 Mg 3.30
Y4 0.5000 0.3220 0.9404  2 Cu 2.91
Y5 0.0000 0.0000 0.0000  2 Cu 2.89, 4 Y 3.23
Y6 0.5000 0.3220 0.5596  2 Cu 2.91
Y7 0.5000 0.1257 0.2500  2 Cu 3.20, 8 Y 3.23-3.58, 2 Mg 3.30
Y8 0.5000 0.6780 0.0596  2 Cu 2.91
Mg1 0.0000 0.4366 0.2500  10 Y 3.30-3.66, 1 Cu 3.48, 2 Mg 3.58
Mg2 0.0000 0.5634 0.7500  10 Y 3.30-3.66, 1 Cu 3.48, 2 Mg 3.58
Cu1 0.0000 0.1725 0.7500  8 Y 2.89-3.20
Cu2 0.0000 0.8275 0.2500  8 Y 2.89-3.20

Record 2
The following is a PBEsol calculation of an optimized crystal structure of Y2MgCu, from the Alexandria database.

Computed properties:
Energy of formation from the pure elements, eV/f.u.: -0.3
Raw total energy, eV per cell: -19.98
N(E_F), states/eV per atom: 0.80
Magnetization, μB per atom: 0.000
Volume, Å³ per cell: 91

a b c (Å): 3.6522 5.0009 5.0009
angles (deg): 90.00 90.00 90.00
With the nearest neighbours (Å) after each atom.
Fractional positions:
Y1 0.0000 0.0000 0.5000  4 Mg 3.10, 4 Cu 3.10
Y2 0.0000 0.5000 0.0000  4 Mg 3.10, 4 Cu 3.10
Cu1 0.5000 0.0000 0.0000  8 Y 3.10
Mg1 0.5000 0.5000 0.5000  8 Y 3.10

Record 3
The following is a PBEsol calculation of an optimized crystal structure of Y2Mg4Cu, from the Alexandria database.

Computed properties:
Energy of formation from the pure elements, eV/f.u.: 2.6
Raw total energy, eV per cell: -22.25
N(E_F), states/eV per atom: 0.96
Magnetization, μB per atom: 0.000
Volume, Å³ per cell: 183

a b c (Å): 6.2029 6.2029 6.2029
angles (deg): 107.08 107.08 114.36
With the nearest neighbours (Å) after each atom.
Fractional positions:
Mg1 0.7115 0.7115 0.4229  1 Cu 3.01, 2 Mg 3.12, 4 Y 3.13
Mg2 0.2885 0.7115 0.0000  1 Cu 3.01, 2 Mg 3.12, 4 Y 3.13
Mg3 0.2885 0.2885 0.5771  1 Cu 3.01, 2 Mg 3.12, 4 Y 3.13
Mg4 0.7115 0.2885 0.0000  1 Cu 3.01, 2 Mg 3.12, 4 Y 3.13
Y1 0.2500 0.7500 0.5000  8 Mg 3.13, 2 Y 3.36
Y2 0.7500 0.2500 0.5000  8 Mg 3.13, 2 Y 3.36
Cu1 0.0000 0.0000 0.0000  4 Mg 3.01

Record 4
The following is a PBEsol calculation of an optimized crystal structure of Y2Mg2Cu, from the Alexandria database.

Computed properties:
Distance to the lowest polymorph of the same formula, meV/atom: 8
Energy of formation from the pure elements, eV/f.u.: -0.4
Raw total energy, eV per cell: -43.72
N(E_F), states/eV per atom: 0.95
Magnetization, μB per atom: 0.000
Volume, Å³ per cell: 229

a b c (Å): 4.9296 6.2138 8.0722
angles (deg): 102.29 107.78 90.00
With the nearest neighbours (Å) after each atom.
Fractional positions:
Mg1 0.5269 0.2893 0.0538  2 Cu 3.00, 3 Mg 3.00-3.31, 6 Y 3.14-3.26
Mg2 0.4796 0.7431 0.9592  2 Cu 3.02, 3 Mg 3.07-3.31, 6 Y 3.15-3.31
Mg3 0.2767 0.4734 0.5535  1 Cu 2.78, 2 Mg 3.04
Mg4 0.7106 0.1976 0.4212  3 Mg 3.00-3.04, 5 Y 3.06-3.20
Y1 0.9156 0.4169 0.8312  2 Cu 2.81-2.94, 1 Mg 3.14
Y2 0.6901 0.6961 0.3801  3 Cu 2.87-3.01, 3 Mg 3.06-3.18
Y3 0.3243 0.9998 0.6485  2 Cu 2.84, 1 Mg 3.15
Y4 0.0840 0.0069 0.1681  3 Cu 2.93-3.24, 6 Mg 3.19-3.26
Cu1 0.1031 0.5372 0.2062  3 Mg 2.78-3.00, 4 Y 2.81-3.00
Cu2 0.8891 0.8716 0.7782  5 Y 2.84-3.01, 2 Mg 3.02